1.
Density functional theory data (PBE) for CdRePb2O6 after structural relaxation.

Output
- Calculated volume: 140 Å³ per cell
- Energy: -6.227 eV per atom
- Space-group type: No. 225

a = 5.8288 Å, b = 5.8288 Å, c = 5.8288 Å
α = 60.00°, β = 60.00°, γ = 60.00°
Each line ends with the local moment (μB).
Fractional coordinates of all 10 atoms:
O 0.7317 0.2683 0.7317  0.00
O 0.2683 0.7317 0.7317  0.00
O 0.2683 0.7317 0.2683  0.00
O 0.7317 0.2683 0.2683  0.00
O 0.2683 0.2683 0.7317  0.00
O 0.7317 0.7317 0.2683  0.00
Re 0.5000 0.5000 0.5000  0.38
Pb 0.2500 0.2500 0.2500  0.02
Pb 0.7500 0.7500 0.7500  0.02
Cd 0.0000 0.0000 0.0000  0.00


2.
Density functional theory data (PBE) for Sr2HgSbAs after structural relaxation.

Output
- Calculated volume: 315 Å³ per cell
- Energy: -3.335 eV per atom
- Space-group type: No. 36

a = 8.8426 Å, b = 8.8426 Å, c = 7.9805 Å
α = 90.00°, β = 90.00°, γ = 149.64°
Fractional coordinates of all 10 atoms:
Sr 0.0345 0.9655 0.2463
Sr 0.7851 0.2149 0.3678
Sr 0.9655 0.0345 0.7463
Sr 0.2149 0.7851 0.8678
Sb 0.4261 0.5739 0.4549
Sb 0.5739 0.4261 0.9549
Hg 0.4053 0.5947 0.0776
Hg 0.5947 0.4053 0.5776
As 0.8251 0.1749 0.9878
As 0.1749 0.8251 0.4878


3.
Density functional theory data (PBE) for ZnFeAsW after structural relaxation.

Output
- Calculated volume: 58 Å³ per cell
- Energy: -6.179 eV per atom
- Space-group type: No. 216

a = 4.3348 Å, b = 4.3348 Å, c = 4.3348 Å
α = 60.00°, β = 60.00°, γ = 60.00°
Fractional coordinates of all 4 atoms:
W 0.5000 0.5000 0.5000
As 0.0000 0.0000 0.0000
Fe 0.7500 0.7500 0.7500
Zn 0.2500 0.2500 0.2500


4.
Density functional theory data (PBE) for Gd6MgTa2B8SeO26 after structural relaxation.

Output
- Calculated volume: 476 Å³ per cell
- Energy: -8.345 eV per atom
- Space-group type: No. 147

a = 8.0056 Å, b = 8.0056 Å, c = 8.5800 Å
α = 90.00°, β = 90.00°, γ = 120.00°
Fractional coordinates of all 44 atoms:
O 0.5707 0.4664 0.2164
O 0.8065 0.2746 0.9635
O 0.4293 0.5336 0.7836
O 0.3333 0.6667 0.2560
O 0.1583 0.2255 0.8408
O 0.4681 0.1935 0.9635
O 0.6667 0.3333 0.7440
O 0.1935 0.7254 0.0365
O 0.7254 0.5319 0.9635
O 0.8957 0.4293 0.2164
O 0.7110 0.1481 0.4797
O 0.2890 0.8519 0.5203
O 0.2746 0.4681 0.0365
O 0.1043 0.5707 0.7836
O 0.9328 0.1583 0.1592
O 0.5630 0.7110 0.5203
O 0.5319 0.8065 0.0365
O 0.0672 0.8417 0.8408
O 0.7745 0.9328 0.8408
O 0.8417 0.7745 0.1592
O 0.4664 0.8957 0.7836
O 0.8519 0.5630 0.4797
O 0.1481 0.4370 0.5203
O 0.5336 0.1043 0.2164
O 0.4370 0.2890 0.4797
O 0.2255 0.0672 0.1592
B 0.6667 0.3333 0.9123
B 0.4101 0.1213 0.1123
B 0.5899 0.8787 0.8877
B 0.1213 0.7113 0.8877
B 0.2887 0.4101 0.8877
B 0.3333 0.6667 0.0877
B 0.7113 0.5899 0.1123
B 0.8787 0.2887 0.1123
Ta 0.6667 0.3333 0.3812
Ta 0.3333 0.6667 0.6188
Gd 0.2401 0.3366 0.3024
Gd 0.3366 0.0964 0.6976
Gd 0.9036 0.2401 0.6976
Gd 0.7599 0.6634 0.6976
Gd 0.6634 0.9036 0.3024
Gd 0.0964 0.7599 0.3024
Mg 0.0000 0.0000 0.0000
Se 0.0000 0.0000 0.5000